1.
# Zn3Se

A geometry-optimized Zn3Se structure (PBE-GGA, Alexandria via LeMat-Bulk).

Cell lengths 4.9896, 4.9896, 4.9896 Å; angles 114.03, 114.03, 114.03 degrees
Element x y z (fractional)
Se 0.0000 0.0000 0.0000
Zn 0.5000 0.0000 0.5000
Zn 0.5000 0.5000 0.0000
Zn 0.0000 0.5000 0.5000

V (A^3/atom): 18.8
Magnetic moment (Bohr magnetons per cell): 0.00
Total DFT energy (no corrections) (eV per atom): -1.732
ΔE to the lowest computed polymorph (meV/atom): 261
Uncorrected formation energy (eV/atom): 0.094

2.
# ScSbMo3

A geometry-optimized ScSbMo3 structure (PBE-GGA, Alexandria via LeMat-Bulk).

Cell lengths 4.6788, 4.6788, 4.6788 Å; angles 90.00, 90.00, 90.00 degrees
Element x y z (fractional)
Sc 0.0000 0.0000 0.0000
Sb 0.5000 0.5000 0.5000
Mo 0.0000 0.5000 0.0000
Mo 0.0000 0.0000 0.5000
Mo 0.5000 0.0000 0.0000

V (A^3/atom): 20.5
Magnetic moment (Bohr magnetons per cell): 0.51
Total DFT energy (no corrections) (eV per atom): -6.802
ΔE to the lowest computed polymorph (meV/atom): 239
Uncorrected formation energy (eV/atom): 1.788